No. 1
Computed, not measured: a geometry-optimized Y4Mg structure at the PBE level of DFT.

## Properties
formation energy = 1.6 kJ/mol of atoms
symmetry = No. 166
offset from the most stable computed form = 40 meV/atom

```
Y4Mg
1.0
3.584 0.000 0.000
-1.792 3.100 0.020
0.000 1.977 14.001
Y Mg
4 1
Direct
0.396 0.793 0.812
0.604 0.207 0.188
0.132 0.263 0.605
0.868 0.737 0.395
0.000 0.000 0.000
```

***

No. 2
Computed, not measured: a geometry-optimized TmZr2ScN4 structure at the PBE level of DFT.

## Properties
raw formation energy = -173.6 kJ per mole of atoms
symmetry = No. 10

```
TmZr2ScN4
1.0
-0.952 -3.008 -0.869
4.259 -0.272 -3.722
1.759 -2.011 5.035
Tm Zr Sc N
1 2 1 4
Direct
0.500 0.500 0.000
0.500 0.000 0.500
0.000 0.500 0.500
0.000 0.000 0.000
0.500 0.245 0.252
0.500 0.755 0.748
0.000 0.244 0.744
0.000 0.756 0.256
```

***

No. 3
Computed, not measured: a geometry-optimized GaMo3Pd structure at the PBE level of DFT.

## Properties
formation energy = 145.8 kJ/mol of atoms
symmetry = No. 221
offset from the most stable computed form = 0 meV/atom

```
GaMo3Pd
1.0
4.556 0.000 0.000
0.000 4.556 0.000
0.000 0.000 4.556
Mo Ga Pd
3 1 1
Direct
0.000 0.500 0.000
0.000 0.000 0.500
0.500 0.000 0.000
0.000 0.000 0.000
0.500 0.500 0.500
```

***

No. 4
Computed, not measured: a geometry-optimized CrCoIr2 structure at the PBE level of DFT.

## Properties
formation energy = -10.4 kJ/mol of atoms
symmetry = No. 47

```
CrCoIr2
1.0
-2.469 0.745 -0.738
0.426 -1.720 -3.161
-2.001 -4.479 2.168
Cr Ir Co
1 2 1
Direct
0.500 0.500 0.750
0.000 0.000 0.002
0.000 0.000 0.498
0.500 0.500 0.250
```

***

No. 5
Computed, not measured: a geometry-optimized ZrMnNiPd structure at the PBE level of DFT.

## Properties
formation energy = -28.0 kJ/mol of atoms
symmetry = No. 216

```
ZrMnNiPd
1.0
-0.777 4.186 -1.421
-4.152 1.237 -1.173
-2.305 2.856 2.584
Ni Mn Zr Pd
1 1 1 1
Direct
0.500 0.500 0.500
0.750 0.750 0.750
0.250 0.250 0.250
0.000 0.000 0.000
```

***

No. 6
Computed, not measured: a geometry-optimized Y2AgPdO5 structure at the PBE level of DFT.

## Properties
raw formation energy = -185.1 kJ per mole of atoms
symmetry = No. 127

```
Y2AgPdO5
1.0
-0.754 0.165 5.716
-2.221 -6.178 -0.115
6.119 -2.216 0.871
Y Ag Pd O
4 2 2 10
Direct
0.500 0.674 0.174
0.500 0.174 0.326
0.500 0.826 0.674
0.500 0.326 0.826
0.000 0.500 0.500
0.000 0.000 0.000
0.000 0.000 0.500
0.000 0.500 0.000
0.500 0.500 0.500
0.500 0.000 0.000
0.262 0.138 0.638
0.262 0.862 0.362
0.262 0.362 0.138
0.262 0.638 0.862
0.738 0.138 0.638
0.738 0.638 0.862
0.738 0.862 0.362
0.738 0.362 0.138
```

***

Copy entry 3 word for word.
Computed, not measured: a geometry-optimized GaMo3Pd structure at the PBE level of DFT.

## Properties
formation energy = 145.8 kJ/mol of atoms
symmetry = No. 221
offset from the most stable computed form = 0 meV/atom

```
GaMo3Pd
1.0
4.556 0.000 0.000
0.000 4.556 0.000
0.000 0.000 4.556
Mo Ga Pd
3 1 1
Direct
0.000 0.500 0.000
0.000 0.000 0.500
0.500 0.000 0.000
0.000 0.000 0.000
0.500 0.500 0.500
```